Entry 1:
5
Lattice="-3.851 2.362 -2.031 -1.416 -4.204 -2.204 -2.774 -1.133 3.944" Properties=species:S:1:pos:R:3 comment="Ca3FeOs meta-GGA SCAN single point on PBEsol structure" magnetic_moment_mub_per_cell=2.9 space_group="Pm-3m (221)" pbc="T T T"
Fe 0.000 0.000 0.000
Ca -0.708 -2.102 -1.102
Ca -1.925 1.181 -1.015
Os -4.021 -1.487 -0.145
Ca -1.387 -0.566 1.972

---

Entry 2:
4
Lattice="2.719 0.000 0.000 0.000 2.719 0.000 0.000 0.000 8.140" Properties=species:S:1:pos:R:3 comment="CaFeOs2 meta-GGA SCAN single point on PBEsol structure" magnetic_moment_mub_per_cell=2.0 space_group="P4/mmm (123)" pbc="T T T"
Os 0.000 0.000 2.426
Ca 1.360 1.360 0.000
Os 0.000 0.000 5.713
Fe 1.360 1.360 4.070

---

Entry 3:
4
Lattice="-3.290 2.085 0.000 -1.441 -2.274 4.123 4.289 3.131 0.286" Properties=species:S:1:pos:R:3 comment="Ca2FeOs meta-GGA SCAN single point on PBEsol structure" magnetic_moment_mub_per_cell=1.5 space_group="Imm2 (44)" pbc="T T T"
Fe -2.125 0.285 2.355
Ca -0.596 2.697 1.279
Os -0.005 -0.008 2.934
Ca -0.522 2.815 4.311

---

Entry 4:
4
Lattice="2.812 0.000 0.000 0.000 5.379 -0.079 0.000 -2.145 4.934" Properties=species:S:1:pos:R:3 comment="Ca2FeOs meta-GGA SCAN single point on PBEsol structure" magnetic_moment_mub_per_cell=2.9 space_group="Cmmm (65)" pbc="T T T"
Os 1.406 1.617 2.427
Ca 0.000 2.690 -0.040
Ca 0.000 -1.073 2.467
Fe 1.406 0.000 0.000

---

Entry 5:
4
Lattice="3.885 0.000 0.000 1.942 3.364 0.000 1.942 1.121 7.822" Properties=species:S:1:pos:R:3 comment="Ca2FeOs meta-GGA SCAN single point on PBEsol structure" magnetic_moment_mub_per_cell=0.3 space_group="R3m (160)" pbc="T T T"
Ca 5.827 3.364 0.829
Ca 5.827 3.364 5.059
Os 1.942 1.121 3.055
Fe 3.885 2.243 2.791

---

Entry 6:
4
Lattice="2.790 0.000 0.000 0.000 4.552 0.000 0.000 0.000 5.836" Properties=species:S:1:pos:R:3 comment="Ca2FeOs meta-GGA SCAN single point on PBEsol structure" magnetic_moment_mub_per_cell=2.9 space_group="Pmmm (47)" pbc="T T T"
Ca 0.000 0.000 4.361
Fe 1.395 2.276 0.000
Os 1.395 2.276 2.918
Ca 0.000 0.000 1.475

---

Entry 7:
5
Lattice="-0.897 -1.765 -3.883 5.068 1.218 -1.725 1.784 -4.870 1.802" Properties=species:S:1:pos:R:3 comment="Ca2FePOs meta-GGA SCAN single point on PBEsol structure" magnetic_moment_mub_per_cell=3.5 space_group="P4/mmm (123)" pbc="T T T"
Os 0.000 0.000 0.000
Fe 2.977 -2.709 -1.903
P -0.449 -0.883 -1.941
Ca 2.534 0.609 -0.862
Ca 0.892 -2.435 0.901

---

Entry 8:
3
Lattice="-3.155 -2.231 1.936 0.728 -4.039 1.354 0.238 -0.851 4.230" Properties=species:S:1:pos:R:3 comment="CaFeP meta-GGA SCAN single point on PBEsol structure" magnetic_moment_mub_per_cell=3.0 space_group="F-43m (216)" pbc="T T T"
Fe -1.095 -3.561 3.760
P -0.547 -1.780 1.880
Ca 0.000 0.000 0.000

---

Entry 9:
5
Lattice="-4.359 2.273 -0.745 -1.412 -3.696 -3.012 -1.930 -2.429 3.885" Properties=species:S:1:pos:R:3 comment="CaFeP3 meta-GGA SCAN single point on PBEsol structure" magnetic_moment_mub_per_cell=3.5 space_group="Pm-3m (221)" pbc="T T T"
P -0.965 -1.214 1.943
Fe -3.851 -1.926 0.064
P -2.180 1.136 -0.373
Ca 0.000 0.000 0.000
P -0.706 -1.848 -1.506

---

Entry 10:
24
Lattice="-6.316 -0.782 3.109 1.185 -2.846 -6.377 4.498 -11.896 6.145" Properties=species:S:1:pos:R:3 comment="Ca6FeP5 meta-GGA SCAN single point on PBEsol structure" magnetic_moment_mub_per_cell=6.0 space_group="P6_3/mcm (193)" pbc="T T T"
Ca 3.535 -9.169 -0.179
P 1.462 -9.159 5.549
Ca -1.163 -7.877 5.763
Ca 4.697 -12.240 1.407
Ca -0.654 -4.802 3.491
P -3.815 -1.470 -0.053
P -0.204 -11.452 2.330
P 1.951 -4.958 -2.910
Ca -1.509 -6.782 0.282
P 3.732 -9.784 2.678
Fe 1.125 -2.974 1.536
Ca -0.002 -10.948 7.349
P -1.566 -7.418 3.019
P -3.279 -3.520 3.704
Fe 3.374 -8.922 4.608
P 0.934 -8.106 -0.143
Ca -2.670 -3.711 -1.304
P -1.315 -2.158 -3.215
P -0.428 -4.072 0.547
Ca 2.038 -11.813 4.181
Ca 2.148 -5.573 -0.053
Ca -1.815 -1.731 1.904
Ca 0.987 -2.501 -1.639
Ca 0.877 -8.742 2.595

---

Entry 11:
5
Lattice="3.786 0.000 0.000 0.000 3.786 0.000 -1.893 -1.893 4.823" Properties=species:S:1:pos:R:3 comment="CaFe2P2 meta-GGA SCAN single point on PBEsol structure" magnetic_moment_mub_per_cell=0.0 space_group="I4/mmm (139)" pbc="T T T"
P 1.893 1.893 1.333
Fe 0.000 1.893 2.411
Ca 0.000 0.000 0.000
Fe 1.893 0.000 2.411
P 0.000 0.000 3.490

---

Entry 12:
4
Lattice="-3.582 -1.910 -2.975 4.792 -2.303 -0.034 -2.953 -0.709 4.010" Properties=species:S:1:pos:R:3 comment="Ca2FePb meta-GGA SCAN single point on PBEsol structure" magnetic_moment_mub_per_cell=3.0 space_group="I4/mmm (139)" pbc="T T T"
Pb -1.476 -0.355 2.005
Ca 0.763 -1.807 0.242
Fe -1.791 -0.955 -1.488
Ca -2.505 -3.116 0.759

---

Entry 13:
4
Lattice="0.032 -0.563 -3.353 2.905 -1.736 0.323 -3.996 -6.493 1.053" Properties=species:S:1:pos:R:3 comment="CaFePb2 meta-GGA SCAN single point on PBEsol structure" magnetic_moment_mub_per_cell=2.5 space_group="P4/mmm (123)" pbc="T T T"
Pb -0.812 -1.319 0.214
Pb -3.184 -5.173 0.839
Fe 1.469 -1.150 -1.515
Ca -0.529 -4.396 -0.988

---

Entry 14:
3
Lattice="-2.421 -2.490 0.396 1.086 -0.534 3.280 -2.820 5.182 -0.085" Properties=species:S:1:pos:R:3 comment="CaFePb meta-GGA SCAN single point on PBEsol structure" magnetic_moment_mub_per_cell=2.0 space_group="I4mm (107)" pbc="T T T"
Fe -2.147 2.259 1.079
Pb -2.064 -0.044 2.539
Ca -4.101 2.100 3.563

---

Entry 15:
5
Lattice="-4.582 -1.113 0.190 0.801 -3.765 -2.731 0.796 -2.619 3.844" Properties=species:S:1:pos:R:3 comment="CaFePd3 meta-GGA SCAN single point on PBEsol structure" magnetic_moment_mub_per_cell=3.6 space_group="Pm-3m (221)" pbc="T T T"
Fe -1.493 -3.748 0.652
Pd 0.400 -1.882 -1.365
Pd -2.291 -0.556 0.095
Ca 0.000 0.000 0.000
Pd 0.398 -1.310 1.922

---

Entry 16:
3
Lattice="3.335 0.000 0.000 0.000 3.335 0.000 -1.668 -1.668 5.121" Properties=species:S:1:pos:R:3 comment="CaFePt meta-GGA SCAN single point on PBEsol structure" magnetic_moment_mub_per_cell=3.5 space_group="I4mm (107)" pbc="T T T"
Ca 0.000 0.000 0.044
Pt 1.668 1.668 2.118
Fe 0.000 0.000 2.960

---

Entry 17:
5
Lattice="4.980 0.000 0.000 0.000 4.980 0.000 0.000 0.000 4.980" Properties=species:S:1:pos:R:3 comment="Ca3FePt meta-GGA SCAN single point on PBEsol structure" magnetic_moment_mub_per_cell=2.2 space_group="Pm-3m (221)" pbc="T T T"
Pt 2.490 2.490 2.490
Fe 0.000 0.000 0.000
Ca 2.490 0.000 0.000
Ca 0.000 2.490 0.000
Ca 0.000 0.000 2.490

---

Entry 18:
4
Lattice="5.628 0.000 0.000 2.814 4.874 0.000 2.814 1.625 4.595" Properties=species:S:1:pos:R:3 comment="RbCa2Fe meta-GGA SCAN single point on PBEsol structure" magnetic_moment_mub_per_cell=3.4 space_group="Fm-3m (225)" pbc="T T T"
Fe 0.000 0.000 0.000
Rb 5.628 3.249 2.297
Ca 2.814 1.625 1.149
Ca 8.441 4.874 3.446

---

Entry 19:
5
Lattice="-5.326 -3.745 1.349 3.959 -4.756 2.432 -0.405 2.752 6.039" Properties=species:S:1:pos:R:3 comment="Rb3CaFe meta-GGA SCAN single point on PBEsol structure" magnetic_moment_mub_per_cell=2.3 space_group="Pm-3m (221)" pbc="T T T"
Rb -0.203 1.376 3.020
Ca -0.886 -2.874 4.910
Fe 0.000 0.000 0.000
Rb -2.663 -1.872 0.674
Rb 1.980 -2.378 1.216

---

Entry 20:
5
Lattice="-1.613 1.032 -4.859 4.548 -1.747 -1.881 -2.343 -5.645 -0.421" Properties=species:S:1:pos:R:3 comment="RbSrCaFe2 meta-GGA SCAN single point on PBEsol structure" magnetic_moment_mub_per_cell=6.4 space_group="P4/mmm (123)" pbc="T T T"
Fe -0.807 0.516 -2.430
Rb 0.296 -3.180 -3.581
Sr -1.171 -2.823 -0.211
Fe 2.274 -0.874 -0.941
Ca 0.000 0.000 0.000

---

Number 1: formation energy 1.29 eV/atom. Number 2: formation energy 0.42 eV/atom. Number 3: formation energy 0.39 eV/atom. Number 4: formation energy 0.71 eV/atom. Number 5: formation energy 0.16 eV/atom. Number 6: formation energy 0.71 eV/atom. Number 7: formation energy 0.30 eV/atom. Number 8: formation energy -0.40 eV/atom. Number 9: formation energy 1.53 eV/atom. Number 10: formation energy -1.13 eV/atom. Number 11: formation energy -0.78 eV/atom. Number 12: formation energy -0.12 eV/atom. Number 13: formation energy 0.04 eV/atom. Number 14: formation energy 0.12 eV/atom. Number 15: formation energy 1.15 eV/atom. Number 16: formation energy -0.30 eV/atom. Number 17: formation energy 0.45 eV/atom. Number 18: formation energy 0.69 eV/atom. Number 19: formation energy 0.84 eV/atom. Number 20: formation energy 1.28 eV/atom.